DFT (GGA-PBE) results for crystalline Sm3Tl3GeS8 at its relaxed geometry.

abc: 8.030 8.031 8.901
angles: 116.81 90.00 120.00
Sites, in units of the cell vectors:
Tl1 0.500 0.500 0.000
Tl2 0.000 0.000 0.000
Tl3 0.000 0.500 0.000
S1 0.734 0.468 0.703
S2 0.211 0.975 0.686
S3 0.789 0.025 0.314
S4 0.236 0.025 0.314
S5 0.266 0.532 0.297
S6 0.764 0.975 0.686
S7 0.211 0.422 0.686
S8 0.789 0.578 0.314
Sm1 0.000 0.500 0.500
Sm2 0.500 0.500 0.500
Sm3 0.500 0.000 0.500
Ge1 0.000 0.000 0.500

Computed properties:
The total energy is -5.072 eV per atom. The magnetization comes out at 0.000 μB/atom. For the formation energy without anion corrections, the calculation gives -1.146 eV/atom. Its density is 5.45 g/cm3.